No. 1
Below is BeTcH2 after structural relaxation, with properties calculated at the PBE-GGA level.

Structure (extended XYZ):
```
4
Lattice="-2.6887 -1.0288 -0.3994 -1.0560 -2.0378 1.7831 -2.7626 1.9604 2.9730" Properties=species:S:1:pos:R:3 pbc="T T T"
Be -3.3368 -0.3893 2.3162
Tc -5.2274 -0.1463 3.8430
H -2.4070 1.2601 2.3832
H -1.5522 -0.4234 0.9655
```

## Properties
VASP energy: -20.005 eV per cell
ΔE to the lowest computed polymorph: 0.0 meV per atom

=====

No. 2
Below is TbPm2Sm5Th after structural relaxation, with properties calculated at the PBE-GGA level.

Structure (extended XYZ):
```
18
Lattice="5.7010 0.0000 0.0000 -2.8505 10.2503 0.0000 0.0000 0.0000 10.5565" Properties=species:S:1:pos:R:3 pbc="T T T"
Tb 2.8505 1.9029 10.0744
Tb 0.0000 8.3474 4.7961
Pm 2.8505 7.8829 8.6301
Pm 0.0000 2.3547 7.7241
Pm 0.0000 2.3674 3.3519
Pm 2.8505 7.8956 2.4459
Sm 0.0000 7.9492 0.2712
Sm 2.8505 4.5978 8.6015
Sm 0.0000 9.8389 7.8360
Sm 0.0000 6.0622 7.4444
Sm 2.8505 9.9336 5.4876
Sm 2.8505 2.3011 5.5495
Sm 0.0000 5.6525 3.3232
Sm 2.8505 0.4114 2.5578
Sm 2.8505 4.1881 2.1661
Sm 0.0000 0.3167 0.2093
Th 2.8505 6.1784 5.4116
Th 0.0000 4.0720 0.1334
```

## Properties
VASP energy: -87.552 eV per cell
formation enthalpy at 0 K: 0.152 eV/atom

=====

No. 3
Below is PrNdHo2 after structural relaxation, with properties calculated at the PBE-GGA level.

Structure (extended XYZ):
```
4
Lattice="-1.1181 4.9112 0.1907 -4.9841 -1.1520 0.4468 0.4790 -0.0895 5.1118" Properties=species:S:1:pos:R:3 pbc="T T T"
Pr -2.8116 1.8348 2.8747
Nd -0.5590 2.4556 0.0954
Ho 0.2395 -0.0447 2.5559
Ho -2.4920 -0.5760 0.2234
```

## Properties
VASP energy: -18.619 eV per cell
ΔE to the lowest computed polymorph: 7.9 meV per atom
formation enthalpy at 0 K: 0.021 eV/atom

=====

No. 4
Below is CsTbCuI5 after structural relaxation, with properties calculated at the PBE-GGA level.

Structure (extended XYZ):
```
16
Lattice="-7.6842 1.6696 3.1590 -0.6726 -7.7124 -3.4468 6.5222 -1.6484 9.2639" Properties=species:S:1:pos:R:3 pbc="T T T"
Cs -1.5356 -4.7880 1.2184
Cs -0.2991 -2.9032 7.7577
Tb 3.2611 -0.8242 4.6320
Tb 0.0000 0.0000 0.0000
Cu -3.8926 -1.6341 3.4390
Cu 2.0580 -6.0570 5.5371
I 0.4297 -7.4176 -0.6331
I -2.2643 -0.2735 9.6093
I -6.3928 -1.0863 2.8099
I 4.5582 -6.6049 6.1663
I -2.8282 -0.2607 5.4209
I 0.9936 -7.4304 3.5552
I -3.6230 -4.1701 4.2930
I 1.7884 -3.5210 4.6832
I -2.6079 -1.1779 1.1207
I 0.7732 -6.5133 7.8554
```

## Properties
VASP energy: -52.238 eV per cell

=====

No. 5
Below is Pd13S2 after structural relaxation, with properties calculated at the PBE-GGA level.

Structure (extended XYZ):
```
15
Lattice="5.0105 -0.0923 0.2411 -0.7571 6.6042 0.0812 -0.1757 -3.1933 7.0920" Properties=species:S:1:pos:R:3 pbc="T T T"
Pd 3.3504 3.7308 0.7176
Pd 0.7272 -0.4121 6.6967
Pd 0.0000 0.0000 0.0000
Pd 0.2308 4.3069 4.4503
Pd 3.8468 -0.9883 2.9640
Pd 4.2477 1.2005 5.2093
Pd -0.1701 2.1181 2.2050
Pd 2.3397 2.9399 3.2050
Pd 1.7380 0.3787 4.2092
Pd 1.5475 2.3001 6.2595
Pd 2.5301 1.0186 1.1548
Pd 3.2913 -1.3403 5.7754
Pd 0.7863 4.6589 1.6389
S 3.2864 3.2412 5.1912
S 0.7912 0.0775 2.2231
```

## Properties
VASP energy: -76.821 eV per cell

=====

No. 6
Below is Pm3MgSi2Pd9 after structural relaxation, with properties calculated at the PBE-GGA level.

Structure (extended XYZ):
```
15
Lattice="5.8331 0.0000 0.0000 -2.9166 5.0516 0.0000 0.0000 0.0000 10.4181" Properties=species:S:1:pos:R:3 pbc="T T T"
Pm 0.0000 3.3678 6.3937
Pm 0.0000 0.0000 0.0000
Pm 2.9166 1.6839 4.0243
Mg 0.0000 0.0000 5.2090
Si 0.0000 3.3678 1.6510
Si 2.9166 1.6839 8.7671
Pd 4.4235 0.8138 7.2388
Pd 2.9166 3.4240 7.2388
Pd 1.4096 0.8138 7.2388
Pd 1.5070 4.2378 3.1793
Pd 0.0000 1.6277 3.1793
Pd -1.5069 4.2378 3.1793
Pd 2.9166 0.0000 0.0000
Pd -1.4583 2.5258 0.0000
Pd 1.4583 2.5258 0.0000
```

## Properties
VASP energy: -82.815 eV per cell

=====

No. 7
Below is Rb2NbZnAg after structural relaxation, with properties calculated at the PBE-GGA level.

Structure (extended XYZ):
```
5
Lattice="-2.0223 2.2367 6.3465 1.8721 -4.5599 2.2036 6.2726 3.0259 0.9323" Properties=species:S:1:pos:R:3 pbc="T T T"
Zn 3.0613 0.3513 4.7412
Nb 0.0000 0.0000 0.0000
Rb 3.1363 1.5129 0.4662
Rb -1.0111 1.1184 3.1733
Ag 0.9361 -2.2800 1.1018
```

## Properties
VASP energy: -10.362 eV per cell
formation enthalpy at 0 K: 1.154 eV/atom

=====

No. 8
Below is Li3Pr2ScS6 after structural relaxation, with properties calculated at the PBE-GGA level.

Structure (extended XYZ):
```
12
Lattice="6.9224 -0.0326 0.0406 -3.4877 5.9796 0.0406 -1.1102 -1.9222 6.1601" Properties=species:S:1:pos:R:3 pbc="T T T"
Li -2.5500 4.1564 3.1206
Li 4.8745 -0.1316 3.1206
Li 1.1622 2.0124 3.1206
Pr -0.0381 3.9873 0.0406
Pr 3.4727 1.9597 0.0406
Sc 0.0000 0.0000 0.0000
S 3.4024 2.1945 4.6763
S 2.3528 4.0739 1.5800
S -1.0779 1.8303 1.5649
S 0.2004 4.0437 4.6763
S -0.0283 -0.0491 4.6612
S 2.1241 -0.0190 1.5649
```

## Properties
VASP energy: -67.375 eV per cell